<one>
LiCu2W | PBE-GGA | relaxed

The structure in POSCAR format:
```
LiCu2W
1.0
6.535 0.000 0.000
0.000 6.535 0.000
0.000 0.000 5.099
Li Cu W
4 8 4
Cartesian
0.000 0.000 0.000
0.000 3.268 1.275
3.268 0.000 3.825
3.268 3.268 2.550
1.446 1.634 0.637
1.634 4.714 1.912
1.634 5.089 4.462
1.822 1.634 3.187
4.714 4.901 3.187
4.901 1.446 4.462
4.901 1.822 1.912
5.089 4.901 0.637
0.000 0.000 2.550
0.000 3.268 3.825
3.268 0.000 1.275
3.268 3.268 0.000
```

Its volume is 54.4 Å³/f.u. The value obtained for the density of states at the Fermi level is 20.08 states/eV/cell. As for the symmetry: No. 122.

***

<two>
LiCu2W | PBE-GGA | relaxed

The structure in POSCAR format:
```
LiCu2W
1.0
2.627 0.000 0.000
0.000 2.627 0.000
0.000 0.000 7.900
Li Cu W
1 2 1
Cartesian
0.000 0.000 0.000
0.000 0.000 4.260
1.313 1.313 6.001
1.313 1.313 2.243
```

Its volume is 54.5 Å³/f.u. The value obtained for the density of states at the Fermi level is 2.76 states/eV/cell. As for the symmetry: No. 99.

***

<two> wins, 598 meV per atom ahead of the next structure.

***

<one>
LiCu2W | PBE-GGA | relaxed

The structure in POSCAR format:
```
LiCu2W
1.0
6.445 0.000 0.000
0.000 6.699 0.000
0.000 0.000 2.559
Li Cu W
2 4 2
Cartesian
0.000 0.000 0.000
3.222 3.349 0.000
1.611 1.675 1.279
1.611 5.024 1.279
4.833 1.675 1.279
4.833 5.024 1.279
0.000 3.349 0.000
3.222 0.000 0.000
```

Its volume is 55.2 Å³/f.u. The value obtained for the density of states at the Fermi level is 2.97 states/eV/cell. As for the symmetry: No. 65.

***

<two>
LiCu2W | PBE-GGA | relaxed

The structure in POSCAR format:
```
LiCu2W
1.0
9.582 0.000 0.000
0.000 2.565 0.000
-1.170 0.000 4.473
Li Cu W
2 4 2
Cartesian
0.000 0.000 0.000
4.791 1.283 0.000
2.320 1.283 0.596
3.883 0.000 2.175
7.111 0.000 0.596
8.674 1.283 2.175
1.305 0.000 2.745
6.096 1.283 2.745
```

Its volume is 55.0 Å³/f.u. The value obtained for the density of states at the Fermi level is 6.94 states/eV/cell. As for the symmetry: No. 8.

***

<one> wins, 69 meV per atom ahead of the next structure.

***

<one>
LiCu2W | PBE-GGA | relaxed

The structure in POSCAR format:
```
LiCu2W
1.0
2.544 0.000 0.000
0.000 3.879 0.000
0.000 0.000 5.559
Li Cu W
1 2 1
Cartesian
0.000 0.000 0.000
1.272 1.940 1.434
1.272 1.940 4.125
0.000 0.000 2.780
```

Its volume is 54.9 Å³/f.u. The value obtained for the density of states at the Fermi level is 1.01 states/eV/cell. As for the symmetry: No. 47.

***

<two>
LiCu2W | PBE-GGA | relaxed

The structure in POSCAR format:
```
LiCu2W
1.0
8.534 0.000 0.000
0.000 2.540 0.000
-0.527 0.000 5.080
Li Cu W
2 4 2
Cartesian
0.000 0.000 0.000
4.267 1.270 0.000
1.719 0.000 3.814
2.022 1.270 1.266
5.986 1.270 3.814
6.289 0.000 1.266
-0.263 1.270 2.540
4.004 0.000 2.540
```

Its volume is 55.0 Å³/f.u. The value obtained for the density of states at the Fermi level is 6.21 states/eV/cell. As for the symmetry: No. 12.

***

<three>
LiCu2W | PBE-GGA | relaxed

The structure in POSCAR format:
```
LiCu2W
1.0
2.600 0.000 0.000
0.000 4.519 0.000
0.000 0.000 8.879
Li Cu W
2 4 2
Cartesian
0.000 0.000 0.000
1.300 2.260 4.440
0.000 2.260 2.332
0.000 2.260 6.548
1.300 0.000 2.108
1.300 0.000 6.771
0.000 0.000 4.440
1.300 2.260 0.000
```

Its volume is 52.2 Å³/f.u. The value obtained for the density of states at the Fermi level is 6.65 states/eV/cell. As for the symmetry: No. 71.

***

<one> wins, 160 meV per atom ahead of the next structure.

***

<one>
LiCu3W | PBE-GGA | relaxed

The structure in POSCAR format:
```
LiCu3W
1.0
3.984 0.000 0.000
0.000 3.984 0.000
0.000 0.000 3.984
Li Cu W
1 3 1
Cartesian
0.000 0.000 0.000
0.000 0.000 1.992
0.000 1.992 0.000
1.992 0.000 0.000
1.992 1.992 1.992
```

Its volume is 63.2 Å³/f.u. The value obtained for the density of states at the Fermi level is 3.58 states/eV/cell. As for the symmetry: No. 221.

***

<two>
LiCu3W | PBE-GGA | relaxed

The structure in POSCAR format:
```
LiCu3W
1.0
4.766 0.000 0.000
0.000 4.766 0.000
0.000 0.000 4.766
Li Cu W
1 3 1
Cartesian
0.000 0.000 0.000
0.000 2.383 2.383
2.383 0.000 2.383
2.383 2.383 0.000
2.383 2.383 2.383
```

Its volume is 108.2 Å³/f.u. The value obtained for the density of states at the Fermi level is 3.58 states/eV/cell. As for the symmetry: No. 221.

***

<one> wins, 411 meV per atom ahead of the next structure.

***

<one>
LiYCu | PBE-GGA | relaxed

The structure in POSCAR format:
```
LiYCu
1.0
6.598 0.000 0.000
0.000 6.598 0.000
0.000 0.000 6.598
Li Y Cu
4 4 4
Cartesian
0.000 0.000 0.000
0.000 3.299 3.299
3.299 0.000 3.299
3.299 3.299 0.000
1.649 1.649 1.649
1.649 4.948 4.948
4.948 1.649 4.948
4.948 4.948 1.649
0.000 0.000 3.299
0.000 3.299 0.000
3.299 0.000 0.000
3.299 3.299 3.299
```

Its volume is 71.8 Å³/f.u. The value obtained for the density of states at the Fermi level is 11.01 states/eV/cell. As for the symmetry: No. 216.

***

<two>
LiYCu | PBE-GGA | relaxed

The structure in POSCAR format:
```
LiYCu
1.0
3.539 0.000 0.000
0.000 3.539 0.000
0.000 0.000 9.379
Li Y Cu
2 2 2
Cartesian
0.000 0.000 0.000
1.769 1.769 4.690
0.000 0.000 2.811
1.769 1.769 7.500
0.000 0.000 5.936
1.769 1.769 1.246
```

Its volume is 58.7 Å³/f.u. The value obtained for the density of states at the Fermi level is 3.57 states/eV/cell. As for the symmetry: No. 107.

***

<two> wins, 537 meV per atom ahead of the next structure.

***

<one>
LiYCu | PBE-GGA | relaxed

The structure in POSCAR format:
```
LiYCu
1.0
6.498 0.000 0.000
0.000 6.498 0.000
0.000 0.000 6.498
Li Y Cu
4 4 4
Cartesian
0.000 0.000 0.000
0.000 3.249 3.249
3.249 0.000 3.249
3.249 3.249 0.000
0.000 0.000 3.249
0.000 3.249 0.000
3.249 0.000 0.000
3.249 3.249 3.249
1.625 1.625 1.625
1.625 4.874 4.874
4.874 1.625 4.874
4.874 4.874 1.625
```

Its volume is 68.6 Å³/f.u. The value obtained for the density of states at the Fermi level is 10.63 states/eV/cell. As for the symmetry: No. 216.

***

<two>
LiYCu | PBE-GGA | relaxed

The structure in POSCAR format:
```
LiYCu
1.0
4.430 0.000 0.000
-2.215 3.836 0.000
0.000 0.000 3.518
Li Y Cu
1 1 1
Cartesian
0.000 0.000 0.000
2.215 1.279 1.759
0.000 2.558 0.000
```

Its volume is 59.8 Å³/f.u. The value obtained for the density of states at the Fermi level is 2.44 states/eV/cell. As for the symmetry: No. 187.

***

<two> wins, 102 meV per atom ahead of the next structure.